Entry from Alexandria via LeMat-Bulk: a relaxed structure of Tm4InPbO (PBE-GGA).

Geometry as POSCAR:
```
Tm4InPbO
1.0
-5.2190 1.5668 -3.3895
-0.5031 -6.0505 -2.0222
-2.1946 -2.5789 8.2618
Pb Tm In O
2 8 2 2
Direct
0.6081 0.7500 0.2161
0.3919 0.2500 0.7839
0.4153 0.7500 0.8306
0.0000 0.0000 0.5000
0.5000 0.5000 0.5000
0.5847 0.2500 0.1694
0.5000 0.0000 0.5000
0.0000 0.5000 0.5000
0.0704 0.7500 0.1407
0.9296 0.2500 0.8593
0.8862 0.7500 0.7724
0.1138 0.2500 0.2276
0.7289 0.2500 0.4578
0.2711 0.7500 0.5422
```

**Magnetic moment**: 0.0 μB/f.u.
**Uncorrected energy**: -0.390 Ry/atom